(1)
Material: PrEuPb2
Method: DFT, PBE
State: optimized geometry

- ΔH_f (0 K): -523 meV/atom
- VASP energy: -6.14 eV per atom
- V: 124.71 Å³ per cell
- Total moment: 7.3 μB per cell

abc: 4.586 5.215 5.215
angles: 90.00 90.00 90.00
Last column: magnetic moment on the atom in μB.
Atoms (fractional coordinates):
1 Pb 0.000 0.000 0.500  0.02
2 Pb 0.000 0.500 0.000  0.02
3 Eu 0.500 0.500 0.500  -6.88
4 Pr 0.500 0.000 0.000  -0.13

=====

(2)
Material: RbIn2GaCl4
Method: DFT, PBE
State: optimized geometry

- VASP energy: -3.15 eV per atom
- V: 531.28 Å³ per cell
- Total moment: 0.0 μB per cell

abc: 9.089 9.089 9.124
angles: 120.13 120.13 89.93
Atoms (fractional coordinates):
1 Rb 0.000 0.500 0.000
2 Rb 0.000 0.500 0.500
3 In 0.500 0.000 0.000
4 In 0.500 0.000 0.500
5 In 0.000 0.000 0.500
6 In 0.500 0.500 0.000
7 Ga 0.500 0.500 0.500
8 Ga 0.000 0.000 0.000
9 Cl 0.248 0.759 0.003
10 Cl 0.741 0.252 0.497
11 Cl 0.259 0.748 0.503
12 Cl 0.752 0.241 0.997
13 Cl 0.749 0.752 0.990
14 Cl 0.748 0.751 0.510
15 Cl 0.252 0.249 0.490
16 Cl 0.251 0.248 0.010

=====

(3)
Material: TaIr2W
Method: DFT, PBE
State: optimized geometry

- ΔH_f (0 K): -442 meV/atom
- Distance to the lowest polymorph of the same formula: 15.8 meV/atom
- VASP energy: -11.07 eV per atom
- V: 62.53 Å³ per cell
- Total moment: 0.0 μB per cell

abc: 3.995 3.996 3.917
angles: 90.00 90.00 90.00
Atoms (fractional coordinates):
1 Ir 0.000 0.000 0.000
2 Ir 0.500 0.500 0.000
3 W 0.000 0.500 0.500
4 Ta 0.500 0.000 0.500

=====

(4)
Material: PrDy5Er7
Method: DFT, PBE
State: optimized geometry

- ΔH_f (0 K): 253 meV/atom
- Distance to the lowest polymorph of the same formula: 2.2 meV/atom
- VASP energy: -4.34 eV per atom
- V: 423.35 Å³ per cell
- Total moment: 0.0 μB per cell

abc: 6.648 8.647 8.647
angles: 79.56 67.39 67.39
Atoms (fractional coordinates):
1 Pr 0.030 0.970 0.970
2 Dy 0.466 0.997 0.538
3 Dy 0.998 0.997 0.538
4 Dy 0.466 0.538 0.997
5 Dy 0.998 0.538 0.997
6 Dy 0.735 0.765 0.765
7 Er 0.728 0.272 0.272
8 Er 0.423 0.577 0.577
9 Er 0.982 0.349 0.687
10 Er 0.982 0.687 0.349
11 Er 0.230 0.270 0.270
12 Er 0.481 0.851 0.188
13 Er 0.481 0.188 0.851

=====

(5)
Material: NaLi2Ca2
Method: DFT, PBE
State: optimized geometry

- ΔH_f (0 K): 124 meV/atom
- Distance to the lowest polymorph of the same formula: 67.9 meV/atom
- VASP energy: -1.71 eV per atom
- V: 340.16 Å³ per cell
- Total moment: 0.0 μB per cell

abc: 9.470 9.470 3.793
angles: 90.00 90.00 90.00
Atoms (fractional coordinates):
1 Na 0.000 0.000 0.000
2 Na 0.500 0.500 0.000
3 Ca 0.359 0.859 0.000
4 Ca 0.859 0.641 0.000
5 Ca 0.641 0.141 0.000
6 Ca 0.141 0.359 0.000
7 Li 0.152 0.652 0.500
8 Li 0.652 0.848 0.500
9 Li 0.848 0.348 0.500
10 Li 0.348 0.152 0.500

=====

(6)
Material: In2RuCl
Method: DFT, PBE
State: optimized geometry

- Distance to the lowest polymorph of the same formula: 772.7 meV/atom
- VASP energy: -3.67 eV per atom
- V: 83.78 Å³ per cell
- Total moment: 0.6 μB per cell

abc: 4.911 4.911 4.911
angles: 60.00 60.00 60.00
Last column: magnetic moment on the atom in μB.
Atoms (fractional coordinates):
1 Ru 0.500 0.500 0.500  0.54
2 Cl 0.000 0.000 0.000  0.05
3 In 0.250 0.250 0.250  -0.01
4 In 0.750 0.750 0.750  -0.01

=====

(7)
Material: In2Bi3Pb8
Method: DFT, PBE
State: optimized geometry

- ΔH_f (0 K): 170 meV/atom
- Distance to the lowest polymorph of the same formula: 107.5 meV/atom
- VASP energy: -3.43 eV per atom
- V: 443.19 Å³ per cell
- Total moment: 0.0 μB per cell

abc: 6.575 6.575 12.431
angles: 74.67 74.67 60.00
Atoms (fractional coordinates):
1 In 0.650 0.650 0.050
2 In 0.350 0.350 0.950
3 Bi 0.000 0.000 0.000
4 Bi 0.829 0.829 0.513
5 Bi 0.171 0.171 0.487
6 Pb 0.736 0.736 0.793
7 Pb 0.264 0.264 0.207
8 Pb 0.239 0.739 0.283
9 Pb 0.739 0.239 0.283
10 Pb 0.739 0.739 0.283
11 Pb 0.261 0.761 0.717
12 Pb 0.761 0.261 0.717
13 Pb 0.261 0.261 0.717

=====

(8)
Material: Ce3Mg4Rh4
Method: DFT, PBE
State: optimized geometry

- ΔH_f (0 K): -549 meV/atom
- VASP energy: -5.42 eV per atom
- V: 228.28 Å³ per cell
- Total moment: 1.0 μB per cell

abc: 3.615 8.283 8.862
angles: 117.86 101.77 90.00
Last column: magnetic moment on the atom in μB.
Atoms (fractional coordinates):
1 Ce 0.103 0.103 0.205  0.27
2 Ce 0.897 0.897 0.795  0.27
3 Ce 0.000 0.500 0.000  0.31
4 Mg 0.324 0.140 0.647  0.00
5 Mg 0.676 0.492 0.353  0.00
6 Mg 0.676 0.860 0.353  0.00
7 Mg 0.324 0.508 0.647  0.00
8 Rh 0.264 0.764 0.528  -0.01
9 Rh 0.736 0.236 0.472  -0.01
10 Rh 0.500 0.753 0.000  -0.03
11 Rh 0.500 0.247 0.000  -0.03

=====

(9)
Material: TeRhCl2
Method: DFT, PBE
State: optimized geometry

- Distance to the lowest polymorph of the same formula: 996.9 meV/atom
- VASP energy: -2.96 eV per atom
- V: 80.67 Å³ per cell
- Total moment: 0.0 μB per cell

abc: 5.299 5.299 5.299
angles: 131.94 131.94 70.32
Atoms (fractional coordinates):
1 Te 0.750 0.250 0.500
2 Rh 0.250 0.750 0.500
3 Cl 0.000 0.000 0.000
4 Cl 0.500 0.500 0.000

=====

(10)
Material: Tb5C2Se2
Method: DFT, PBE
State: optimized geometry

- VASP energy: -6.12 eV per atom
- V: 371.16 Å³ per cell
- Total moment: 0.0 μB per cell

abc: 7.237 7.223 7.966
angles: 116.96 90.00 90.00
Atoms (fractional coordinates):
1 Tb 0.000 0.000 0.000
2 Tb 0.500 0.500 0.000
3 Tb 0.845 0.774 0.235
4 Tb 0.155 0.461 0.235
5 Tb 0.345 0.961 0.235
6 Tb 0.655 0.274 0.235
7 Tb 0.155 0.226 0.765
8 Tb 0.845 0.539 0.765
9 Tb 0.655 0.039 0.765
10 Tb 0.345 0.726 0.765
11 C 0.662 0.830 0.000
12 C 0.338 0.170 0.000
13 C 0.162 0.670 0.000
14 C 0.838 0.330 0.000
15 Se 0.000 0.203 0.405
16 Se 0.500 0.703 0.405
17 Se 0.000 0.797 0.595
18 Se 0.500 0.297 0.595

=====

(11)
Material: U8Tc3Ru
Method: DFT, PBE
State: optimized geometry

- ΔH_f (0 K): 270 meV/atom
- VASP energy: -10.62 eV per atom
- V: 227.02 Å³ per cell
- Total moment: 0.0 μB per cell

abc: 5.709 5.709 8.043
angles: 90.00 90.00 120.00
Atoms (fractional coordinates):
1 U 0.333 0.667 0.500
2 U 0.333 0.667 0.001
3 U 0.514 0.028 0.750
4 U 0.514 0.486 0.750
5 U 0.972 0.486 0.750
6 U 0.153 0.306 0.249
7 U 0.153 0.847 0.249
8 U 0.694 0.847 0.249
9 Tc 0.667 0.333 0.444
10 Tc 0.667 0.333 0.055
11 Tc 0.000 0.000 0.945
12 Ru 0.000 0.000 0.558

=====

(12)
Material: K2SiHg
Method: DFT, PBE
State: optimized geometry

- Distance to the lowest polymorph of the same formula: 223.8 meV/atom
- VASP energy: -1.77 eV per atom
- V: 149.94 Å³ per cell
- Total moment: 0.0 μB per cell

abc: 3.878 3.878 9.968
angles: 90.00 90.00 90.00
Atoms (fractional coordinates):
1 Hg 0.500 0.500 0.655
2 K 0.000 0.000 0.926
3 K 0.500 0.500 0.327
4 Si 0.000 0.000 0.592

=====

Q: Which value of VASP energy does entry 1 give?
A: -6.14 eV per atom

=====

Copy entry 9 word for word.
Material: TeRhCl2
Method: DFT, PBE
State: optimized geometry

- Distance to the lowest polymorph of the same formula: 996.9 meV/atom
- VASP energy: -2.96 eV per atom
- V: 80.67 Å³ per cell
- Total moment: 0.0 μB per cell

abc: 5.299 5.299 5.299
angles: 131.94 131.94 70.32
Atoms (fractional coordinates):
1 Te 0.750 0.250 0.500
2 Rh 0.250 0.750 0.500
3 Cl 0.000 0.000 0.000
4 Cl 0.500 0.500 0.000